Compound: NdHo2Ru
Source: the Alexandria database
Functional: PBE
Structure: relaxed

a = 3.4362 Å, b = 3.4362 Å, c = 9.0296 Å
α = 90.00°, β = 90.00°, γ = 90.00°
Element x y z (fractional)
Nd (0.0000, 0.0000, 0.0000)
Ho (0.5000, 0.5000, 0.3200)
Ho (0.5000, 0.5000, 0.6800)
Ru (0.0000, 0.0000, 0.5000)

## Properties
Space group   P4/mmm, No. 123
Distance to the lowest polymorph of the same formula   41 meV/atom
Energy of formation   -0.246 eV per atom


Compound: KZn2Hg
Source: the Alexandria database
Functional: PBE
Structure: relaxed

a = 8.1065 Å, b = 4.6562 Å, c = 6.6566 Å
α = 90.00°, β = 113.49°, γ = 90.00°
Element x y z (fractional)
K (0.0000, 0.0000, 0.0000)
K (0.5000, 0.5000, 0.0000)
Zn (0.1859, 0.0000, 0.5566)
Zn (0.3141, 0.5000, 0.4434)
Zn (0.6859, 0.5000, 0.5566)
Zn (0.8141, 0.0000, 0.4434)
Hg (0.0000, 0.5000, 0.5000)
Hg (0.5000, 0.0000, 0.5000)

## Properties
Space group   C2/m, No. 12
Energy of formation   -0.025 eV per atom


Compound: ScTeN2
Source: the Alexandria database
Functional: PBE
Structure: relaxed

a = 3.3379 Å, b = 3.3379 Å, c = 19.0102 Å
α = 90.00°, β = 90.00°, γ = 120.00°
Element x y z (fractional)
Sc (0.0000, 0.0000, 0.0000)
Sc (0.3333, 0.6667, 0.6667)
Sc (0.6667, 0.3333, 0.3333)
Te (0.0000, 0.0000, 0.5000)
Te (0.3333, 0.6667, 0.1667)
Te (0.6667, 0.3333, 0.8333)
N (0.0000, 0.0000, 0.3921)
N (0.0000, 0.0000, 0.6079)
N (0.3333, 0.6667, 0.0587)
N (0.3333, 0.6667, 0.2746)
N (0.6667, 0.3333, 0.7254)
N (0.6667, 0.3333, 0.9413)

## Properties
Space group   R-3m, No. 166
ΔE_f (raw)   -288 meV per atom


Compound: KAg2Cl4
Source: the Alexandria database
Functional: PBE
Structure: relaxed

a = 8.7722 Å, b = 7.5238 Å, c = 9.8354 Å
α = 58.93°, β = 47.27°, γ = 73.80°
Element x y z (fractional)
K (0.0000, 0.0000, 0.0000)
K (0.2500, 0.2500, 0.2500)
Ag (0.1240, 0.6251, 0.6255)
Ag (0.6245, 0.6246, 0.1260)
Ag (0.6251, 0.1240, 0.6254)
Ag (0.6246, 0.6245, 0.6249)
Cl (0.3040, 0.3642, 0.4799)
Cl (0.3642, 0.3040, 0.8518)
Cl (0.3982, 0.7701, 0.8858)
Cl (0.4778, 0.8512, 0.3070)
Cl (0.7701, 0.3982, 0.9460)
Cl (0.8512, 0.4778, 0.3640)
Cl (0.8860, 0.9430, 0.3988)
Cl (0.9430, 0.8860, 0.7722)

## Properties
Space group   Fdd2, No. 43
ΔE_f (raw)   -831 meV per atom


Compound: In2Co2Cu
Source: the Alexandria database
Functional: PBE
Structure: relaxed

a = 5.2739 Å, b = 4.3621 Å, c = 7.4343 Å
α = 90.00°, β = 104.80°, γ = 90.00°
Element x y z (fractional)
In (0.0000, 0.0000, 0.0000)
In (0.0668, 0.0000, 0.6230)
In (0.4190, 0.5000, 0.1609)
In (0.5698, 0.5000, 0.7818)
Co (0.0795, 0.5000, 0.8236)
Co (0.2101, 0.5000, 0.4611)
Co (0.7584, 0.5000, 0.4748)
Co (0.9145, 0.5000, 0.1607)
Cu (0.4833, 0.0000, 0.4771)
Cu (0.7891, 0.0000, 0.2807)

## Properties
Space group   Pm, No. 6
Distance to the lowest polymorph of the same formula   18 meV/atom
Energy of formation   0.147 eV per atom


Compound: Ac2Al5Rh3
Source: the Alexandria database
Functional: PBE
Structure: relaxed

a = 8.8691 Å, b = 8.8691 Å, c = 8.8691 Å
α = 106.30°, β = 86.67°, γ = 141.02°
Element x y z (fractional)
Ac (0.1403, 0.2239, 0.3642)
Ac (0.3597, 0.7239, 0.0836)
Ac (0.6403, 0.2761, 0.9164)
Ac (0.8597, 0.7761, 0.6358)
Al (0.0380, 0.7500, 0.2880)
Al (0.0901, 0.6572, 0.7473)
Al (0.2500, 0.2500, 0.0000)
Al (0.4099, 0.1572, 0.5671)
Al (0.4620, 0.7500, 0.7120)
Al (0.5380, 0.2500, 0.2880)
Al (0.5901, 0.8428, 0.4329)
Al (0.7500, 0.7500, 0.0000)
Al (0.9099, 0.3428, 0.2527)
Al (0.9620, 0.2500, 0.7120)
Rh (0.1410, 0.8982, 0.0392)
Rh (0.2500, 0.7500, 0.5000)
Rh (0.3590, 0.3982, 0.7572)
Rh (0.6410, 0.6018, 0.2428)
Rh (0.7500, 0.2500, 0.5000)
Rh (0.8590, 0.1018, 0.9608)

## Properties
Space group   Ibam, No. 72
Energy of formation   -0.740 eV per atom


Compound: Pr3HgPt8
Source: the Alexandria database
Functional: PBE
Structure: relaxed

a = 9.5505 Å, b = 9.5505 Å, c = 9.5505 Å
α = 33.50°, β = 33.50°, γ = 33.50°
Element x y z (fractional)
Pr (0.0000, 0.0000, 0.0000)
Pr (0.1291, 0.1291, 0.1291)
Pr (0.6144, 0.6144, 0.6144)
Hg (0.4930, 0.4930, 0.4930)
Pt (0.0577, 0.5595, 0.5595)
Pt (0.0592, 0.0592, 0.5651)
Pt (0.0592, 0.5651, 0.0592)
Pt (0.3101, 0.3101, 0.3101)
Pt (0.5595, 0.0577, 0.5595)
Pt (0.5595, 0.5595, 0.0577)
Pt (0.5651, 0.0592, 0.0592)
Pt (0.8102, 0.8102, 0.8102)

## Properties
Space group   R3m, No. 160
Energy of formation   -0.918 eV per atom


Compound: YNb3B
Source: the Alexandria database
Functional: PBE
Structure: relaxed

a = 4.5492 Å, b = 4.5492 Å, c = 4.5492 Å
α = 90.00°, β = 90.00°, γ = 90.00°
Element x y z (fractional)
Y (0.0000, 0.0000, 0.0000)
Nb (0.0000, 0.5000, 0.5000)
Nb (0.5000, 0.0000, 0.5000)
Nb (0.5000, 0.5000, 0.0000)
B (0.5000, 0.5000, 0.5000)

## Properties
Space group   Pm-3m, No. 221
Distance to the lowest polymorph of the same formula   0 meV/atom
Energy of formation   0.127 eV per atom


Compound: AcErRhAu
Source: the Alexandria database
Functional: PBE
Structure: relaxed

a = 7.3284 Å, b = 7.3284 Å, c = 7.3284 Å
α = 90.00°, β = 90.00°, γ = 90.00°
Element x y z (fractional)
Ac (0.0000, 0.0000, 0.0000)
Ac (0.0000, 0.5000, 0.5000)
Ac (0.5000, 0.0000, 0.5000)
Ac (0.5000, 0.5000, 0.0000)
Er (0.0000, 0.0000, 0.5000)
Er (0.0000, 0.5000, 0.0000)
Er (0.5000, 0.0000, 0.0000)
Er (0.5000, 0.5000, 0.5000)
Rh (0.2500, 0.2500, 0.7500)
Rh (0.2500, 0.7500, 0.2500)
Rh (0.7500, 0.2500, 0.2500)
Rh (0.7500, 0.7500, 0.7500)
Au (0.2500, 0.2500, 0.2500)
Au (0.2500, 0.7500, 0.7500)
Au (0.7500, 0.2500, 0.7500)
Au (0.7500, 0.7500, 0.2500)

## Properties
Space group   F-43m, No. 216
Energy of formation   -0.666 eV per atom


Compound: K3Li3Hg8
Source: the Alexandria database
Functional: PBE
Structure: relaxed

a = 9.3708 Å, b = 9.3708 Å, c = 9.3708 Å
α = 148.60°, β = 110.40°, γ = 78.34°
Element x y z (fractional)
K (0.0000, 0.0000, 0.0000)
K (0.2913, 0.2913, 0.0000)
K (0.7087, 0.7087, 0.0000)
Li (0.2982, 0.5000, 0.7982)
Li (0.5000, 0.0000, 0.5000)
Li (0.7018, 0.5000, 0.2018)
Hg (0.0142, 0.6624, 0.3518)
Hg (0.1820, 0.8802, 0.3017)
Hg (0.3105, 0.6624, 0.6482)
Hg (0.4215, 0.1198, 0.3017)
Hg (0.5785, 0.8802, 0.6983)
Hg (0.6895, 0.3376, 0.3518)
Hg (0.8180, 0.1198, 0.6983)
Hg (0.9858, 0.3376, 0.6482)

## Properties
Space group   Immm, No. 71
Energy of formation   -0.252 eV per atom


Number 1: V 26.65 Å³/atom, calculated total energy -6.046 eV/atom. Number 2: V 28.80 Å³/atom, calculated total energy -1.012 eV/atom. Number 3: V 15.29 Å³/atom, calculated total energy -6.819 eV/atom. Number 4: V 28.99 Å³/atom, calculated total energy -2.858 eV/atom. Number 5: V 16.54 Å³/atom, calculated total energy -4.610 eV/atom. Number 6: V 20.31 Å³/atom, calculated total energy -5.638 eV/atom. Number 7: V 19.70 Å³/atom, calculated total energy -6.165 eV/atom. Number 8: V 18.83 Å³/atom, calculated total energy -8.543 eV/atom. Number 9: V 24.60 Å³/atom, calculated total energy -5.491 eV/atom. Number 10: V 28.15 Å³/atom, calculated total energy -1.070 eV/atom.